(1)
The following is a DFT calculation (GGA-PBEsol) of a relaxed Ho2ZnIr crystal.

```
data_Ho2ZnIr
_chemical_formula_sum 'Ho2 Zn1 Ir1'
_symmetry_space_group_name_H-M 'P 1'
_symmetry_Int_Tables_number 1
_cell_length_a 4.825
_cell_length_b 4.825
_cell_length_c 4.825
_cell_angle_alpha 60.00
_cell_angle_beta 60.00
_cell_angle_gamma 60.00
loop_
_symmetry_equiv_pos_as_xyz
'x,y,z'
loop_
_atom_site_label
_atom_site_fract_x
_atom_site_fract_y
_atom_site_fract_z
_atom_site_occupancy
Ir1 0.500 0.500 0.500 1
Zn1 0.000 0.000 0.000 1
Ho1 0.750 0.750 0.750 1
Ho2 0.250 0.250 0.250 1
```

Values from the calculation:
- calculated volume (Å³/cell) = 79.4
- magnetization (μB per atom) = 0.000
- VASP energy (eV per atom) = -5.96
- SG = No. 225

***

(2)
The following is a DFT calculation (GGA-PBEsol) of a relaxed KHoMo2O8 crystal.

```
data_KHoMo2O8
_chemical_formula_sum 'K4 Ho4 Mo8 O32'
_symmetry_space_group_name_H-M 'P 1'
_symmetry_Int_Tables_number 1
_cell_length_a 5.050
_cell_length_b 7.808
_cell_length_c 18.355
_cell_angle_alpha 90.00
_cell_angle_beta 90.00
_cell_angle_gamma 90.00
loop_
_symmetry_equiv_pos_as_xyz
'x,y,z'
loop_
_atom_site_label
_atom_site_fract_x
_atom_site_fract_y
_atom_site_fract_z
_atom_site_occupancy
Ho1 0.500 0.750 0.495 1
K1 0.500 0.750 0.727 1
O1 0.742 0.807 0.093 1
O2 0.392 0.481 0.813 1
O3 0.732 0.164 0.098 1
O4 0.758 0.807 0.593 1
O5 0.108 0.481 0.313 1
O6 0.748 0.995 0.467 1
O7 0.258 0.193 0.907 1
K2 0.500 0.250 0.273 1
O8 0.392 0.981 0.187 1
O9 0.768 0.164 0.598 1
O10 0.752 0.995 0.967 1
O11 0.752 0.495 0.033 1
O12 0.248 0.005 0.033 1
Ho2 0.000 0.750 0.995 1
O13 0.232 0.336 0.598 1
Mo1 0.020 0.515 0.600 1
O14 0.242 0.193 0.407 1
O15 0.892 0.019 0.313 1
O16 0.608 0.519 0.187 1
O17 0.252 0.505 0.467 1
K3 0.000 0.750 0.227 1
K4 0.000 0.250 0.773 1
O18 0.748 0.495 0.533 1
Ho3 0.000 0.250 0.005 1
O19 0.892 0.519 0.687 1
O20 0.608 0.019 0.813 1
Mo2 0.480 0.515 0.100 1
O21 0.758 0.307 0.407 1
O22 0.232 0.836 0.402 1
O23 0.742 0.307 0.907 1
Ho4 0.500 0.250 0.505 1
Mo3 0.480 0.015 0.900 1
O24 0.252 0.005 0.533 1
Mo4 0.020 0.015 0.400 1
Mo5 0.520 0.485 0.900 1
O25 0.242 0.693 0.593 1
O26 0.268 0.836 0.902 1
Mo6 0.980 0.985 0.600 1
O27 0.258 0.693 0.093 1
O28 0.768 0.664 0.402 1
Mo7 0.980 0.485 0.400 1
O29 0.248 0.505 0.967 1
O30 0.108 0.981 0.687 1
O31 0.268 0.336 0.098 1
Mo8 0.520 0.985 0.100 1
O32 0.732 0.664 0.902 1
```

Values from the calculation:
- calculated volume (Å³/cell) = 723.7
- magnetization (μB per atom) = 0.000
- formation energy from raw total energies (eV/atom) = -2.468
- VASP energy (eV per atom) = -8.44
- SG = No. 60

***

(3)
The following is a DFT calculation (GGA-PBEsol) of a relaxed KHoMo2O8 crystal.

```
data_KHoMo2O8
_chemical_formula_sum 'K2 Ho2 Mo4 O16'
_symmetry_space_group_name_H-M 'P 1'
_symmetry_Int_Tables_number 1
_cell_length_a 7.328
_cell_length_b 7.328
_cell_length_c 7.620
_cell_angle_alpha 61.79
_cell_angle_beta 61.79
_cell_angle_gamma 88.20
loop_
_symmetry_equiv_pos_as_xyz
'x,y,z'
loop_
_atom_site_label
_atom_site_fract_x
_atom_site_fract_y
_atom_site_fract_z
_atom_site_occupancy
O1 0.389 0.226 0.442 1
O2 0.387 0.071 0.878 1
O3 0.774 0.611 0.058 1
O4 0.611 0.774 0.558 1
Mo1 0.700 0.694 0.258 1
O5 0.954 0.798 0.191 1
Mo2 0.306 0.300 0.242 1
Mo3 0.300 0.306 0.742 1
O6 0.366 0.584 0.471 1
O7 0.071 0.387 0.378 1
O8 0.634 0.416 0.529 1
O9 0.416 0.634 0.029 1
O10 0.226 0.389 0.942 1
O11 0.613 0.929 0.122 1
O12 0.584 0.366 0.971 1
Mo4 0.694 0.700 0.758 1
O13 0.929 0.613 0.622 1
Ho1 0.230 0.770 0.250 1
O14 0.798 0.954 0.691 1
K1 0.198 0.802 0.750 1
O15 0.046 0.202 0.809 1
O16 0.202 0.046 0.309 1
Ho2 0.770 0.230 0.750 1
K2 0.802 0.198 0.250 1
```

Values from the calculation:
- calculated volume (Å³/cell) = 307.9
- magnetization (μB per atom) = 0.000
- formation energy from raw total energies (eV/atom) = -2.466
- VASP energy (eV per atom) = -8.43
- SG = No. 15

***

(4)
The following is a DFT calculation (GGA-PBEsol) of a relaxed KHoP4O12 crystal.

```
data_KHoP4O12
_chemical_formula_sum 'K2 Ho2 P8 O24'
_symmetry_space_group_name_H-M 'P 1'
_symmetry_Int_Tables_number 1
_cell_length_a 7.304
_cell_length_b 7.304
_cell_length_c 10.406
_cell_angle_alpha 101.14
_cell_angle_beta 101.14
_cell_angle_gamma 115.26
loop_
_symmetry_equiv_pos_as_xyz
'x,y,z'
loop_
_atom_site_label
_atom_site_fract_x
_atom_site_fract_y
_atom_site_fract_z
_atom_site_occupancy
O1 0.532 0.270 0.565 1
O2 0.361 0.501 0.590 1
P1 0.716 0.373 0.496 1
O3 0.484 0.086 0.884 1
O4 0.501 0.361 0.090 1
O5 0.183 0.246 0.175 1
O6 0.866 0.843 0.087 1
O7 0.157 0.134 0.413 1
P2 0.373 0.716 0.996 1
O8 0.914 0.516 0.616 1
O9 0.812 0.296 0.104 1
O10 0.246 0.183 0.675 1
O11 0.468 0.730 0.435 1
K1 0.815 0.185 0.750 1
O12 0.516 0.914 0.116 1
O13 0.270 0.532 0.065 1
O14 0.730 0.468 0.935 1
K2 0.185 0.815 0.250 1
O15 0.843 0.866 0.587 1
P3 0.627 0.284 0.004 1
O16 0.639 0.499 0.410 1
O17 0.296 0.812 0.604 1
P4 0.697 0.746 0.442 1
P5 0.284 0.627 0.504 1
P6 0.254 0.303 0.058 1
O18 0.754 0.817 0.325 1
P7 0.746 0.697 0.942 1
Ho1 0.119 0.881 0.750 1
O19 0.188 0.704 0.896 1
O20 0.134 0.157 0.913 1
O21 0.499 0.639 0.910 1
O22 0.086 0.484 0.384 1
P8 0.303 0.254 0.558 1
Ho2 0.881 0.119 0.250 1
O23 0.704 0.188 0.396 1
O24 0.817 0.754 0.825 1
```

Values from the calculation:
- calculated volume (Å³/cell) = 468.2
- magnetization (μB per atom) = 0.000
- formation energy from raw total energies (eV/atom) = -2.482
- VASP energy (eV per atom) = -7.61
- SG = No. 15

***

(5)
The following is a DFT calculation (GGA-PBEsol) of a relaxed K2RbHoV2O8 crystal.

```
data_K2RbHoV2O8
_chemical_formula_sum 'K2 Rb1 Ho1 V2 O8'
_symmetry_space_group_name_H-M 'P 1'
_symmetry_Int_Tables_number 1
_cell_length_a 5.906
_cell_length_b 5.906
_cell_length_c 7.595
_cell_angle_alpha 90.00
_cell_angle_beta 90.00
_cell_angle_gamma 120.00
loop_
_symmetry_equiv_pos_as_xyz
'x,y,z'
loop_
_atom_site_label
_atom_site_fract_x
_atom_site_fract_y
_atom_site_fract_z
_atom_site_occupancy
O1 0.174 0.349 0.326 1
K1 0.667 0.333 0.311 1
O2 0.333 0.667 0.028 1
V1 0.667 0.333 0.754 1
O3 0.651 0.826 0.326 1
V2 0.333 0.667 0.246 1
O4 0.826 0.174 0.674 1
K2 0.333 0.667 0.689 1
O5 0.349 0.174 0.674 1
O6 0.826 0.651 0.674 1
O7 0.174 0.826 0.326 1
Ho1 0.000 0.000 0.500 1
O8 0.667 0.333 0.972 1
Rb1 0.000 0.000 0.000 1
```

Values from the calculation:
- calculated volume (Å³/cell) = 229.4
- magnetization (μB per atom) = 0.000
- formation energy from raw total energies (eV/atom) = -2.597
- VASP energy (eV per atom) = -7.56
- SG = No. 164

***

(6)
The following is a DFT calculation (GGA-PBEsol) of a relaxed K3HoSi2O7 crystal.

```
data_K3HoSi2O7
_chemical_formula_sum 'K18 Ho6 Si12 O42'
_symmetry_space_group_name_H-M 'P 1'
_symmetry_Int_Tables_number 1
_cell_length_a 9.819
_cell_length_b 9.819
_cell_length_c 14.315
_cell_angle_alpha 90.00
_cell_angle_beta 90.00
_cell_angle_gamma 120.00
loop_
_symmetry_equiv_pos_as_xyz
'x,y,z'
loop_
_atom_site_label
_atom_site_fract_x
_atom_site_fract_y
_atom_site_fract_z
_atom_site_occupancy
O1 0.321 0.478 0.591 1
O2 0.590 0.590 0.250 1
O3 0.824 0.824 0.148 1
O4 0.679 0.522 0.091 1
O5 0.176 0.176 0.648 1
O6 0.590 0.000 0.750 1
O7 0.843 0.321 0.409 1
Si1 0.342 0.000 0.143 1
O8 0.478 0.321 0.909 1
O9 0.478 0.157 0.409 1
Si2 0.658 0.658 0.143 1
O10 0.000 0.824 0.852 1
O11 0.321 0.478 0.909 1
K1 0.333 0.333 0.410 1
O12 0.843 0.321 0.091 1
O13 0.157 0.679 0.909 1
Si3 0.342 0.000 0.357 1
Ho1 0.333 0.667 0.500 1
O14 0.843 0.522 0.591 1
O15 0.000 0.590 0.750 1
Ho2 0.000 0.000 0.750 1
O16 0.000 0.410 0.250 1
Ho3 0.333 0.667 0.000 1
Si4 0.342 0.342 0.857 1
O17 0.824 0.824 0.352 1
Si5 0.000 0.658 0.857 1
O18 0.410 0.410 0.750 1
Si6 0.000 0.342 0.357 1
K2 0.333 0.000 0.910 1
K3 0.333 0.667 0.250 1
Si7 0.000 0.342 0.143 1
O19 0.522 0.843 0.909 1
K4 0.667 0.667 0.590 1
O20 0.522 0.843 0.591 1
O21 0.176 0.176 0.852 1
O22 0.478 0.321 0.591 1
K5 0.000 0.000 0.000 1
K6 0.000 0.667 0.090 1
K7 0.667 0.667 0.910 1
K8 0.333 0.667 0.750 1
Si8 0.658 0.000 0.643 1
O23 0.843 0.522 0.909 1
K9 0.000 0.333 0.590 1
K10 0.000 0.667 0.410 1
O24 0.824 0.000 0.648 1
K11 0.667 0.000 0.090 1
K12 0.333 0.000 0.590 1
O25 0.000 0.176 0.352 1
Ho4 0.667 0.333 0.000 1
Si9 0.658 0.658 0.357 1
O26 0.000 0.824 0.648 1
K13 0.000 0.000 0.500 1
O27 0.478 0.157 0.091 1
O28 0.679 0.522 0.409 1
O29 0.157 0.478 0.091 1
K14 0.667 0.000 0.410 1
O30 0.679 0.157 0.909 1
K15 0.667 0.333 0.250 1
Si10 0.000 0.658 0.643 1
O31 0.824 0.000 0.852 1
O32 0.157 0.478 0.409 1
O33 0.522 0.679 0.091 1
O34 0.679 0.157 0.591 1
Si11 0.658 0.000 0.857 1
O35 0.522 0.679 0.409 1
K16 0.667 0.333 0.750 1
O36 0.000 0.176 0.148 1
Ho5 0.000 0.000 0.250 1
O37 0.321 0.843 0.091 1
O38 0.321 0.843 0.409 1
Ho6 0.667 0.333 0.500 1
K17 0.333 0.333 0.090 1
O39 0.176 0.000 0.148 1
O40 0.157 0.679 0.591 1
Si12 0.342 0.342 0.643 1
O41 0.410 0.000 0.250 1
O42 0.176 0.000 0.352 1
K18 0.000 0.333 0.910 1
```

Values from the calculation:
- calculated volume (Å³/cell) = 1195.3
- magnetization (μB per atom) = 0.000
- formation energy from raw total energies (eV/atom) = -2.745
- VASP energy (eV per atom) = -7.10
- SG = No. 193

***

(7)
The following is a DFT calculation (GGA-PBEsol) of a relaxed La3Ho crystal.

```
data_La3Ho
_chemical_formula_sum 'La3 Ho1'
_symmetry_space_group_name_H-M 'P 1'
_symmetry_Int_Tables_number 1
_cell_length_a 5.075
_cell_length_b 5.075
_cell_length_c 6.226
_cell_angle_alpha 114.05
_cell_angle_beta 114.05
_cell_angle_gamma 90.00
loop_
_symmetry_equiv_pos_as_xyz
'x,y,z'
loop_
_atom_site_label
_atom_site_fract_x
_atom_site_fract_y
_atom_site_fract_z
_atom_site_occupancy
La1 0.500 0.500 0.000 1
La2 0.750 0.250 0.500 1
Ho1 0.000 0.000 0.000 1
La3 0.250 0.750 0.500 1
```

Values from the calculation:
- calculated volume (Å³/cell) = 131.0
- magnetization (μB per atom) = 0.000
- VASP energy (eV per atom) = -5.23
- SG = No. 139

***

(8)
The following is a DFT calculation (GGA-PBEsol) of a relaxed LaHoMg2 crystal.

```
data_LaHoMg2
_chemical_formula_sum 'La1 Ho1 Mg2'
_symmetry_space_group_name_H-M 'P 1'
_symmetry_Int_Tables_number 1
_cell_length_a 5.396
_cell_length_b 5.396
_cell_length_c 5.396
_cell_angle_alpha 60.00
_cell_angle_beta 60.00
_cell_angle_gamma 60.00
loop_
_symmetry_equiv_pos_as_xyz
'x,y,z'
loop_
_atom_site_label
_atom_site_fract_x
_atom_site_fract_y
_atom_site_fract_z
_atom_site_occupancy
Mg1 0.250 0.250 0.250 1
La1 0.000 0.000 0.000 1
Mg2 0.750 0.750 0.750 1
Ho1 0.500 0.500 0.500 1
```

Values from the calculation:
- calculated volume (Å³/cell) = 111.1
- magnetization (μB per atom) = 0.000
- VASP energy (eV per atom) = -3.51
- SG = No. 225

***

(9)
The following is a DFT calculation (GGA-PBEsol) of a relaxed LaHoO3 crystal.

```
data_LaHoO3
_chemical_formula_sum 'La4 Ho4 O12'
_symmetry_space_group_name_H-M 'P 1'
_symmetry_Int_Tables_number 1
_cell_length_a 5.824
_cell_length_b 6.024
_cell_length_c 8.425
_cell_angle_alpha 90.00
_cell_angle_beta 90.00
_cell_angle_gamma 90.00
loop_
_symmetry_equiv_pos_as_xyz
'x,y,z'
loop_
_atom_site_label
_atom_site_fract_x
_atom_site_fract_y
_atom_site_fract_z
_atom_site_occupancy
Ho1 0.500 0.000 0.500 1
O1 0.806 0.804 0.430 1
O2 0.194 0.196 0.570 1
O3 0.629 0.059 0.750 1
La1 0.017 0.950 0.750 1
O4 0.371 0.941 0.250 1
O5 0.194 0.196 0.930 1
La2 0.983 0.050 0.250 1
O6 0.129 0.441 0.250 1
O7 0.694 0.304 0.070 1
O8 0.306 0.696 0.930 1
O9 0.694 0.304 0.430 1
La3 0.483 0.450 0.750 1
Ho2 0.000 0.500 0.500 1
Ho3 0.500 0.000 0.000 1
O10 0.871 0.559 0.750 1
O11 0.806 0.804 0.070 1
Ho4 0.000 0.500 0.000 1
La4 0.517 0.550 0.250 1
O12 0.306 0.696 0.570 1
```

Values from the calculation:
- calculated volume (Å³/cell) = 295.6
- magnetization (μB per atom) = 0.000
- formation energy from raw total energies (eV/atom) = -3.539
- VASP energy (eV per atom) = -8.75
- SG = No. 62

***

(10)
The following is a DFT calculation (GGA-PBEsol) of a relaxed LaHo3S6 crystal.

```
data_LaHo3S6
_chemical_formula_sum 'La2 Ho6 S12'
_symmetry_space_group_name_H-M 'P 1'
_symmetry_Int_Tables_number 1
_cell_length_a 3.947
_cell_length_b 10.915
_cell_length_c 11.217
_cell_angle_alpha 108.88
_cell_angle_beta 90.00
_cell_angle_gamma 90.00
loop_
_symmetry_equiv_pos_as_xyz
'x,y,z'
loop_
_atom_site_label
_atom_site_fract_x
_atom_site_fract_y
_atom_site_fract_z
_atom_site_occupancy
Ho1 0.750 0.179 0.001 1
La1 0.750 0.552 0.196 1
S1 0.750 0.622 0.964 1
S2 0.250 0.584 0.407 1
La2 0.250 0.448 0.804 1
S3 0.750 0.231 0.770 1
Ho2 0.750 0.660 0.587 1
S4 0.750 0.303 0.251 1
Ho3 0.250 0.055 0.667 1
S5 0.750 0.892 0.555 1
S6 0.250 0.378 0.036 1
S7 0.250 0.108 0.445 1
Ho4 0.250 0.821 0.999 1
S8 0.250 0.697 0.749 1
Ho5 0.250 0.340 0.413 1
Ho6 0.750 0.945 0.333 1
S9 0.750 0.981 0.112 1
S10 0.250 0.019 0.888 1
S11 0.250 0.769 0.230 1
S12 0.750 0.416 0.593 1
```

Values from the calculation:
- calculated volume (Å³/cell) = 457.2
- magnetization (μB per atom) = 0.000
- formation energy from raw total energies (eV/atom) = -2.166
- VASP energy (eV per atom) = -6.82
- SG = No. 11

***

(11)
The following is a DFT calculation (GGA-PBEsol) of a relaxed LaHoTl2 crystal.

```
data_LaHoTl2
_chemical_formula_sum 'La1 Ho1 Tl2'
_symmetry_space_group_name_H-M 'P 1'
_symmetry_Int_Tables_number 1
_cell_length_a 5.390
_cell_length_b 5.390
_cell_length_c 5.390
_cell_angle_alpha 60.00
_cell_angle_beta 60.00
_cell_angle_gamma 60.00
loop_
_symmetry_equiv_pos_as_xyz
'x,y,z'
loop_
_atom_site_label
_atom_site_fract_x
_atom_site_fract_y
_atom_site_fract_z
_atom_site_occupancy
Ho1 0.500 0.500 0.500 1
Tl1 0.250 0.250 0.250 1
Tl2 0.750 0.750 0.750 1
La1 0.000 0.000 0.000 1
```

Values from the calculation:
- calculated volume (Å³/cell) = 110.8
- magnetization (μB per atom) = 0.000
- VASP energy (eV per atom) = -4.32
- SG = No. 225

***

(12)
The following is a DFT calculation (GGA-PBEsol) of a relaxed Li3Ho crystal.

```
data_Li3Ho
_chemical_formula_sum 'Li6 Ho2'
_symmetry_space_group_name_H-M 'P 1'
_symmetry_Int_Tables_number 1
_cell_length_a 5.013
_cell_length_b 6.443
_cell_length_c 6.443
_cell_angle_alpha 120.00
_cell_angle_beta 90.00
_cell_angle_gamma 90.00
loop_
_symmetry_equiv_pos_as_xyz
'x,y,z'
loop_
_atom_site_label
_atom_site_fract_x
_atom_site_fract_y
_atom_site_fract_z
_atom_site_occupancy
Li1 0.250 0.154 0.846 1
Li2 0.750 0.846 0.692 1
Li3 0.750 0.308 0.154 1
Li4 0.750 0.846 0.154 1
Li5 0.250 0.692 0.846 1
Li6 0.250 0.154 0.308 1
Ho1 0.750 0.333 0.667 1
Ho2 0.250 0.667 0.333 1
```

Values from the calculation:
- calculated volume (Å³/cell) = 180.2
- magnetization (μB per atom) = 0.000
- VASP energy (eV per atom) = -2.47
- SG = No. 194